No. 1
First-principles (PBE-GGA) data for KTl3Re after structural relaxation, as listed in the Alexandria database.

abc: 5.393 5.393 5.393
angles: 90.00 90.00 90.00
Fractional positions:
1 Tl 0.000 0.500 0.000
2 Tl 0.500 0.000 0.000
3 Tl 0.000 0.000 0.500
4 Re 0.000 0.000 0.000
5 K 0.500 0.500 0.500

Calculated values
Formation energy ... 0.314 eV/atom
Space-group type ... Pm-3m (221)
ΔE to the lowest computed polymorph ... 0.000 eV/atom
VASP energy ... -3.815 eV/atom

No. 2
First-principles (PBE-GGA) data for Na3CdGa after structural relaxation, as listed in the Alexandria database.

abc: 5.087 6.268 8.112
angles: 74.39 90.00 90.00
Fractional positions:
1 Na 0.125 0.496 0.659
2 Na 0.125 0.298 0.068
3 Na 0.124 0.123 0.472
4 Na 0.624 0.976 0.175
5 Na 0.625 0.801 0.579
6 Na 0.625 0.603 0.988
7 Ga 0.124 0.663 0.263
8 Ga 0.624 0.435 0.384
9 Cd 0.125 0.915 0.885
10 Cd 0.625 0.184 0.762

Calculated values
Formation energy ... -0.050 eV/atom
Space-group type ... P2_1/m (11)
ΔE to the lowest computed polymorph ... 0.000 eV/atom
VASP energy ... -1.630 eV/atom

No. 3
First-principles (PBE-GGA) data for Nd6C2Se3S after structural relaxation, as listed in the Alexandria database.

abc: 3.985 8.311 9.168
angles: 104.84 102.55 90.00
Fractional positions:
1 Nd 0.669 0.121 0.339
2 Nd 0.982 0.746 0.963
3 Nd 0.331 0.879 0.661
4 Nd 0.323 0.440 0.647
5 Nd 0.018 0.254 0.037
6 Nd 0.677 0.560 0.353
7 Se 0.500 0.500 0.000
8 Se 0.162 0.833 0.323
9 Se 0.838 0.167 0.677
10 S 0.500 0.000 0.000
11 C 0.167 0.332 0.335
12 C 0.833 0.668 0.665

Calculated values
Raw formation energy ... -1.3579 eV per atom
Space-group type ... C2/m (12)
VASP energy ... -6.494 eV/atom

No. 4
First-principles (PBE-GGA) data for Zr2TaNbH after structural relaxation, as listed in the Alexandria database.

abc: 4.174 4.174 4.846
angles: 90.00 90.00 90.00
Fractional positions:
1 Zr 0.500 0.000 0.000
2 Zr 0.000 0.500 0.000
3 Nb 0.500 0.500 0.500
4 Ta 0.000 0.000 0.500
5 H 0.000 0.000 0.000

Calculated values
Space-group type ... P4/mmm (123)
ΔE to the lowest computed polymorph ... 0.009 eV/atom
VASP energy ... -8.403 eV/atom

No. 5
First-principles (PBE-GGA) data for PrTmSb2 after structural relaxation, as listed in the Alexandria database.

abc: 4.422 4.422 7.953
angles: 73.86 73.86 60.00
Fractional positions:
1 Sb 0.086 0.086 0.741
2 Sb 0.247 0.247 0.260
3 Pr 0.669 0.669 0.993
4 Tm 0.498 0.498 0.506

Calculated values
Raw formation energy ... -0.9954 eV per atom
Space-group type ... R3m (160)
ΔE to the lowest computed polymorph ... 0.127 eV/atom
VASP energy ... -5.369 eV/atom

No. 6
First-principles (PBE-GGA) data for CdPIO2 after structural relaxation, as listed in the Alexandria database.

abc: 3.892 3.892 5.814
angles: 90.00 90.00 90.00
Fractional positions:
1 O 0.500 0.000 0.000
2 O 0.000 0.500 0.000
3 I 0.000 0.000 0.500
4 Cd 0.500 0.500 0.500
5 P 0.000 0.000 0.000

Calculated values
Raw formation energy ... -0.1150 eV per atom
Space-group type ... P4/mmm (123)
ΔE to the lowest computed polymorph ... 0.000 eV/atom
VASP energy ... -3.673 eV/atom